Here is an optimized crystal structure of Be2IrSe from Alexandria. Energies are from PBE-GGA.

Geometry as POSCAR:
```
Be2IrSe
1.0
2.9666 0.0000 0.0000
0.0000 2.9666 0.0000
0.0000 0.0000 5.8727
Ir Se Be
1 1 2
Cartesian
1.4833 1.4833 1.4682 Ir
1.4833 1.4833 4.4045 Se
0.0000 0.0000 2.6262 Be
0.0000 0.0000 0.3101 Be
```

Results
- Fermi-level density of states: 0.259 states/eV per atom

---

Here is an optimized crystal structure of BeIrSe2 from Alexandria. Energies are from PBE-GGA.

Geometry as POSCAR:
```
BeIrSe2
1.0
1.6478 -4.1216 4.2145
4.6998 -2.9625 2.5691
3.1396 -0.9244 5.1724
Be Ir Se
1 1 2
Cartesian
0.0000 0.0000 0.0000 Be
4.7436 -4.0043 5.9780 Ir
7.1104 -6.0022 8.9607 Se
2.3767 -2.0063 2.9952 Se
```

Results
- Fermi-level density of states: 0.593 states/eV per atom

---

Here is an optimized crystal structure of BeIrSe2 from Alexandria. Energies are from PBE-GGA.

Geometry as POSCAR:
```
BeIrSe2
1.0
-3.0566 -0.0284 -0.0748
-0.0590 -1.1348 2.8386
-0.1161 6.0872 2.4310
Se Be Ir
2 1 1
Cartesian
-0.0566 2.9681 1.1854 Se
-0.0014 0.0755 0.0301 Se
-1.5868 0.9402 1.9896 Be
-1.6449 3.9838 3.2052 Ir
```

Results
- Fermi-level density of states: 0.767 states/eV per atom

---

Here is an optimized crystal structure of Be2IrSe from Alexandria. Energies are from PBE-GGA.

Geometry as POSCAR:
```
Be2IrSe
1.0
-0.5813 -3.4843 2.1606
-2.9535 -0.1713 2.8972
-3.3925 -2.2880 -0.6345
Ir Be Se
1 2 1
Cartesian
-3.4636 -2.9718 2.2116 Ir
-5.1955 -4.4577 3.3175 Be
-1.7318 -1.4859 1.1058 Be
0.0000 0.0000 0.0000 Se
```

Results
- Fermi-level density of states: 0.445 states/eV per atom

---

Here is an optimized crystal structure of Be2IrSe from Alexandria. Energies are from PBE-GGA.

Geometry as POSCAR:
```
Be2IrSe
1.0
-2.4228 -0.9938 3.0728
2.3445 -1.0001 1.5251
0.5306 3.7649 1.6360
Ir Se Be
1 1 2
Cartesian
1.6980 1.0027 1.6631 Ir
0.6927 1.9784 3.8382 Se
0.7975 3.4906 1.7577 Be
-0.7678 0.4468 2.1913 Be
```

Results
- Fermi-level density of states: 0.216 states/eV per atom

---

Here is an optimized crystal structure of Be2IrSe from Alexandria. Energies are from PBE-GGA.

Geometry as POSCAR:
```
Be2IrSe
1.0
4.0450 -0.0099 -0.0243
2.9637 2.7529 -0.0243
-0.6042 -0.2365 5.3450
Be Ir Se
2 1 1
Cartesian
5.0167 1.9634 3.8348 Be
-0.0106 -0.0041 4.7499 Be
2.9937 1.1716 3.1425 Ir
1.0027 0.3924 1.5624 Se
```

Results
- Fermi-level density of states: 0.235 states/eV per atom

---

no.,energy above the most stable polymorph in this dataset (meV/atom)
1,126
2,410
3,838
4,462
5,223
6,95